{
  "formula": "CaSiSnSe2",
  "functional": "PBE",
  "state": "relaxed",
  "e_form_raw_ev_per_atom": 0.54,
  "magnetic_moment_mub_per_cell": 1.1,
  "lattice": [[5.321, 0.000, 0.000], [0.000, 5.884, 0.000], [0.000, 0.000, 5.321]],
  "species": ["Ca", "Si", "Sn", "Se", "Se"],
  "frac_coords": [[0.000, 0.500, 0.000], [0.500, 0.500, 0.500], [0.000, 0.000, 0.000], [0.000, 0.000, 0.500], [0.500, 0.000, 0.000]]
}